{"formula": "YErCuHg", "functional": "GGA-PBE", "state": "relaxed", "cell": [[3.528, 0.000, 0.000], [0.000, 3.528, 0.000], [0.000, 0.000, 7.442]], "species": ["Y", "Er", "Cu", "Hg"], "frac_coords": [[0.000, 0.000, 0.000], [0.000, 0.000, 0.454], [0.500, 0.500, 0.236], [0.500, 0.500, 0.722]], "total_energy_ev_per_fu": -16.90, "rho_g_cm3": 9.3, "dos_ef_per_ev_fu": 3.5, "polymorph_energy_kj_per_mol_atoms": 0.0, "sg": "P4mm", "formation_energy_ev_per_atom": -0.37}

---

{"formula": "YErCuHg", "functional": "GGA-PBE", "state": "relaxed", "cell": [[0.000, 3.600, 3.600], [3.600, 0.000, 3.600], [3.600, 3.600, 0.000]], "species": ["Y", "Er", "Cu", "Hg"], "frac_coords": [[0.000, 0.000, 0.000], [0.500, 0.500, 0.500], [0.250, 0.250, 0.250], [0.750, 0.750, 0.750]], "total_energy_ev_per_fu": -16.80, "rho_g_cm3": 9.3, "dos_ef_per_ev_fu": 4.3, "polymorph_energy_kj_per_mol_atoms": 2.5, "sg": "F-43m", "formation_energy_ev_per_atom": -0.34}

---

{"formula": "ErZnCuHg", "functional": "GGA-PBE", "state": "relaxed", "cell": [[0.000, 3.333, 3.333], [3.333, 0.000, 3.333], [3.333, 3.333, 0.000]], "species": ["Er", "Zn", "Cu", "Hg"], "frac_coords": [[0.000, 0.000, 0.000], [0.250, 0.250, 0.250], [0.750, 0.750, 0.750], [0.500, 0.500, 0.500]], "total_energy_ev_per_fu": -11.23, "rho_g_cm3": 11.1, "dos_ef_per_ev_fu": 1.6, "sg": "F-43m", "formation_energy_ev_per_atom": -0.25}

---

{"formula": "Ho2ErCu", "functional": "GGA-PBE", "state": "relaxed", "cell": [[6.787, 0.000, 0.000], [0.000, 9.607, 0.000], [0.000, 0.000, 6.443]], "species": ["Ho", "Ho", "Ho", "Ho", "Ho", "Ho", "Ho", "Ho", "Er", "Er", "Er", "Er", "Cu", "Cu", "Cu", "Cu"], "frac_coords": [[0.193, 0.059, 0.188], [0.193, 0.441, 0.188], [0.307, 0.559, 0.688], [0.307, 0.941, 0.688], [0.693, 0.059, 0.312], [0.693, 0.441, 0.312], [0.807, 0.559, 0.812], [0.807, 0.941, 0.812], [0.019, 0.250, 0.630], [0.481, 0.750, 0.130], [0.519, 0.250, 0.870], [0.981, 0.750, 0.370], [0.094, 0.750, 0.952], [0.406, 0.250, 0.452], [0.594, 0.750, 0.548], [0.906, 0.250, 0.048]], "total_energy_ev_per_fu": -18.28, "rho_g_cm3": 8.9, "dos_ef_per_ev_fu": 4.3, "polymorph_energy_kj_per_mol_atoms": 0.0, "sg": "Pnma", "formation_energy_ev_per_atom": -0.12}

---

What is the formula in the third record? ErZnCuHg